No. 1
Here is a relaxed CaNd5Ho2 crystal from Alexandria. Energies are from GGA-PBE. Values from VASP.

## Properties
volume = 35.93 A^3/atom

Geometry as Quantum ESPRESSO input:
```
&SYSTEM
  ibrav = 0, nat = 16, ntyp = 3
/
ATOMIC_SPECIES
Ca 40.08 Ca.upf
Nd 144.24 Nd.upf
Ho 164.93 Ho.upf
CELL_PARAMETERS angstrom
-3.023 5.844 8.135
3.023 -5.844 8.135
3.023 5.844 -8.135
ATOMIC_POSITIONS angstrom
Ca 0.000 2.922 1.550
Ca 3.023 2.922 6.585
Nd 3.023 5.094 -6.412
Nd 3.023 2.922 -0.840
Nd 3.023 0.939 3.177
Nd 3.023 -0.750 6.412
Nd 0.000 0.939 4.958
Nd 3.023 4.906 3.177
Nd 0.000 6.595 1.723
Nd 0.000 4.906 4.958
Nd 0.000 2.922 8.975
Nd 0.000 0.750 14.548
Ho 1.512 2.922 -4.068
Ho 1.512 -2.922 4.068
Ho 3.023 0.000 0.000
Ho 0.000 0.000 8.135
```

---

No. 2
Here is a relaxed CaNd8Ho3 crystal from Alexandria. Energies are from GGA-PBE. Values from VASP.

## Properties
volume = 34.75 A^3/atom

Geometry as Quantum ESPRESSO input:
```
&SYSTEM
  ibrav = 0, nat = 12, ntyp = 3
/
ATOMIC_SPECIES
Ca 40.08 Ca.upf
Nd 144.24 Nd.upf
Ho 164.93 Ho.upf
CELL_PARAMETERS angstrom
3.677 0.000 0.000
0.004 9.135 0.000
0.011 3.041 12.413
ATOMIC_POSITIONS angstrom
Ca 0.000 0.000 0.000
Nd 3.681 1.555 6.116
Nd 0.009 4.865 7.541
Nd 3.679 3.429 1.373
Nd 1.844 8.057 7.891
Nd 1.848 11.344 9.239
Nd 1.849 5.733 10.590
Nd 1.841 6.434 1.727
Nd 3.678 7.282 4.756
Ho 1.838 0.797 3.141
Ho 1.844 4.133 4.439
Ho 3.684 8.742 11.005
```

---

No. 3
Here is a relaxed CaNdHo2 crystal from Alexandria. Energies are from GGA-PBE. Values from VASP.

## Properties
volume = 34.01 A^3/atom
polymorph energy (0 for the lowest one) = 106 meV/atom

Geometry as Quantum ESPRESSO input:
```
&SYSTEM
  ibrav = 0, nat = 4, ntyp = 3
/
ATOMIC_SPECIES
Ca 40.08 Ca.upf
Nd 144.24 Nd.upf
Ho 164.93 Ho.upf
CELL_PARAMETERS angstrom
0.000 4.082 4.082
4.082 0.000 4.082
4.082 4.082 0.000
ATOMIC_POSITIONS angstrom
Ca 0.000 0.000 0.000
Nd 4.082 4.082 4.082
Ho 2.041 2.041 2.041
Ho 6.123 6.123 6.123
```

---

No. 4
Here is a relaxed CaNd12Ho7 crystal from Alexandria. Energies are from GGA-PBE. Values from VASP.

## Properties
volume = 33.74 A^3/atom
polymorph energy (0 for the lowest one) = 0 meV/atom

Geometry as Quantum ESPRESSO input:
```
&SYSTEM
  ibrav = 0, nat = 20, ntyp = 3
/
ATOMIC_SPECIES
Ca 40.08 Ca.upf
Nd 144.24 Nd.upf
Ho 164.93 Ho.upf
CELL_PARAMETERS angstrom
8.016 4.628 3.032
-8.016 4.628 3.032
0.000 -9.256 3.032
ATOMIC_POSITIONS angstrom
Ca 0.000 0.000 0.000
Nd -1.420 -2.058 1.816
Nd -1.072 2.259 1.816
Nd -3.435 -1.408 4.512
Nd -0.498 -3.679 4.583
Nd 2.492 -0.201 1.816
Nd -2.937 2.271 4.583
Nd 2.937 -2.271 4.512
Nd -2.492 0.201 7.280
Nd 0.498 3.679 4.512
Nd 3.435 1.408 4.583
Nd 1.072 -2.259 7.280
Nd 1.420 2.058 7.280
Ho -3.967 -5.016 4.629
Ho -6.328 0.928 4.466
Ho 2.360 -5.944 4.466
Ho 0.000 0.000 4.548
Ho -2.360 5.944 4.629
Ho 6.328 -0.928 4.629
Ho 3.967 5.016 4.466
```

---

No. 5
Here is a relaxed CaNdHo2 crystal from Alexandria. Energies are from GGA-PBE. Values from VASP.

## Properties
volume = 34.74 A^3/atom
polymorph energy (0 for the lowest one) = 103 meV/atom

Geometry as Quantum ESPRESSO input:
```
&SYSTEM
  ibrav = 0, nat = 4, ntyp = 3
/
ATOMIC_SPECIES
Ca 40.08 Ca.upf
Nd 144.24 Nd.upf
Ho 164.93 Ho.upf
CELL_PARAMETERS angstrom
1.784 1.030 12.603
-1.784 1.030 12.603
0.000 -2.060 12.603
ATOMIC_POSITIONS angstrom
Ca 0.000 0.000 0.000
Nd 0.000 0.000 18.905
Ho 0.000 0.000 3.410
Ho 0.000 0.000 34.400
```

---

No. 6
Here is a relaxed CaNd9Ho2 crystal from Alexandria. Energies are from GGA-PBE. Values from VASP.

## Properties
volume = 34.85 A^3/atom

Geometry as Quantum ESPRESSO input:
```
&SYSTEM
  ibrav = 0, nat = 12, ntyp = 3
/
ATOMIC_SPECIES
Ca 40.08 Ca.upf
Nd 144.24 Nd.upf
Ho 164.93 Ho.upf
CELL_PARAMETERS angstrom
5.182 0.000 0.000
0.000 5.182 0.000
0.000 0.000 15.569
ATOMIC_POSITIONS angstrom
Ca 0.000 0.000 0.000
Nd 0.000 2.591 2.690
Nd 0.000 2.591 7.785
Nd 0.000 2.591 12.879
Nd 2.591 0.000 2.690
Nd 2.591 0.000 7.785
Nd 2.591 0.000 12.879
Nd 2.591 2.591 0.000
Nd 2.591 2.591 5.214
Nd 2.591 2.591 10.355
Ho 0.000 0.000 5.206
Ho 0.000 0.000 10.363
```

---

No. 7
Here is a relaxed CaNdHo4 crystal from Alexandria. Energies are from GGA-PBE. Values from VASP.

## Properties
volume = 34.82 A^3/atom

Geometry as Quantum ESPRESSO input:
```
&SYSTEM
  ibrav = 0, nat = 6, ntyp = 3
/
ATOMIC_SPECIES
Ca 40.08 Ca.upf
Nd 144.24 Nd.upf
Ho 164.93 Ho.upf
CELL_PARAMETERS angstrom
0.000 4.710 4.710
4.710 0.000 4.710
4.710 4.710 0.000
ATOMIC_POSITIONS angstrom
Ca 0.000 0.000 0.000
Nd 7.065 7.065 7.065
Ho 3.544 3.544 3.544
Ho 5.876 5.876 3.544
Ho 5.876 3.544 5.876
Ho 3.544 5.876 5.876
```

---

No. 8
Here is a relaxed CaNd3Ho8 crystal from Alexandria. Energies are from GGA-PBE. Values from VASP.

## Properties
volume = 37.37 A^3/atom

Geometry as Quantum ESPRESSO input:
```
&SYSTEM
  ibrav = 0, nat = 12, ntyp = 3
/
ATOMIC_SPECIES
Ca 40.08 Ca.upf
Nd 144.24 Nd.upf
Ho 164.93 Ho.upf
CELL_PARAMETERS angstrom
-4.363 4.363 5.889
4.363 -4.363 5.889
4.363 4.363 -5.889
ATOMIC_POSITIONS angstrom
Ca 0.000 0.000 0.000
Nd 4.363 0.000 2.945
Nd 0.000 0.000 5.889
Nd 0.000 4.363 2.945
Ho 1.176 -1.176 3.222
Ho 2.331 2.331 -0.491
Ho 2.032 -2.032 6.381
Ho -1.176 1.176 3.222
Ho 3.188 3.188 2.667
Ho 2.032 2.032 5.398
Ho -2.032 2.032 6.381
Ho 1.176 1.176 8.557
```

---

| no. | uncorrected energy (eV per atom) |
| --- | --- |
| 1 | -4.134 |
| 2 | -4.458 |
| 3 | -3.810 |
| 4 | -4.420 |
| 5 | -3.812 |
| 6 | -4.474 |
| 7 | -3.964 |
| 8 | -3.754 |